Density functional theory data (PBE) for a relaxed structure of CsVS3.

Formation energy (no corrections), meV/atom: -929
Excess energy over the best structure of this formula in the dataset, meV per atom: 56
E, eV per atom: -5.40

Cell: 6.4107 14.0246 7.1594 Å, 90.00 90.00 90.00°
Positions (direct):
Cs 0.0000 0.0000 0.0000
Cs 0.0000 0.5000 0.0000
Cs 0.5000 0.0000 0.5000
Cs 0.5000 0.5000 0.5000
V 0.0940 0.2500 0.3894
V 0.4060 0.7500 0.8894
V 0.5940 0.2500 0.1106
V 0.9060 0.7500 0.6106
S 0.9996 0.1275 0.5330
S 0.9996 0.3725 0.5330
S 0.0004 0.6275 0.4670
S 0.0004 0.8725 0.4670
S 0.0520 0.7500 0.8963
S 0.4480 0.2500 0.3963
S 0.4996 0.1275 0.9670
S 0.4996 0.3725 0.9670
S 0.5004 0.6275 0.0330
S 0.5004 0.8725 0.0330
S 0.5520 0.7500 0.6037
S 0.9480 0.2500 0.1037